Record 1
{
  "formula": "Sc5Bi2Pb2",
  "functional": "GGA-PBE",
  "state": "optimized geometry",
  "lattice_angstrom": [[-2.215, 4.520, 6.075], [-5.173, -5.525, 2.224], [7.780, -0.392, 3.129]],
  "species": ["Pb", "Pb", "Sc", "Bi", "Sc", "Bi", "Sc", "Sc", "Bi", "Pb", "Sc", "Sc", "Sc", "Sc", "Bi", "Pb", "Sc", "Sc"],
  "frac_coords": [[0.856, 0.355, 0.000], [0.644, 0.855, 0.000], [0.340, 0.973, 0.266], [0.000, 0.796, 0.593], [0.160, 0.207, 0.734], [0.000, 0.204, 0.407], [0.000, 0.000, 0.000], [0.840, 0.793, 0.266], [0.500, 0.704, 0.407], [0.144, 0.645, 0.000], [0.340, 0.707, 0.734], [0.660, 0.027, 0.734], [0.660, 0.293, 0.266], [0.840, 0.527, 0.734], [0.500, 0.296, 0.593], [0.356, 0.145, 0.000], [0.160, 0.473, 0.266], [0.500, 0.500, 0.000]],
  "sg": "Cmce",
  "delta_e_f_ev_per_atom": -0.55,
  "dos_at_fermi_per_ev_atom": 0.825,
  "magmom_total_mub_per_fu": 0.70
}


Record 2
{
  "formula": "Sc2BiPb2",
  "functional": "GGA-PBE",
  "state": "optimized geometry",
  "lattice_angstrom": [[8.952, 0.000, 0.000], [0.000, 8.952, 0.000], [0.000, 0.000, 3.394]],
  "species": ["Sc", "Pb", "Bi", "Sc", "Sc", "Pb", "Sc", "Pb", "Bi", "Pb"],
  "frac_coords": [[0.136, 0.636, 0.500], [0.161, 0.339, 0.000], [0.000, 0.000, 0.000], [0.864, 0.364, 0.500], [0.364, 0.136, 0.500], [0.839, 0.661, 0.000], [0.636, 0.864, 0.500], [0.339, 0.839, 0.000], [0.500, 0.500, 0.000], [0.661, 0.161, 0.000]],
  "sg": "P4/mbm",
  "delta_e_f_ev_per_atom": -0.19,
  "dos_at_fermi_per_ev_atom": 0.547,
  "magmom_total_mub_per_fu": 0.31,
  "polymorph_energy_ev_per_atom": 0.1378
}


Record 3
{
  "formula": "Sc3Bi2Pb",
  "functional": "GGA-PBE",
  "state": "optimized geometry",
  "lattice_angstrom": [[6.030, 0.000, 0.000], [0.000, 8.322, 0.002], [-3.015, -2.081, 6.518]],
  "species": ["Sc", "Pb", "Sc", "Bi", "Sc", "Bi", "Sc", "Bi", "Bi", "Sc", "Sc", "Pb"],
  "frac_coords": [[0.832, 0.416, 0.664], [0.999, 0.750, 0.000], [0.168, 0.584, 0.336], [0.667, 0.083, 0.333], [0.499, 0.750, 0.000], [0.333, 0.417, 0.667], [0.168, 0.084, 0.336], [0.667, 0.583, 0.333], [0.333, 0.917, 0.667], [0.501, 0.250, 0.000], [0.832, 0.916, 0.664], [0.001, 0.250, 0.000]],
  "sg": "C2/c",
  "delta_e_f_ev_per_atom": -0.51,
  "dos_at_fermi_per_ev_atom": 0.476,
  "magmom_total_mub_per_fu": 0.00
}


Record 4
{
  "formula": "ScBiPb2",
  "functional": "GGA-PBE",
  "state": "optimized geometry",
  "lattice_angstrom": [[-0.941, 0.147, 6.922], [-6.135, -3.257, -0.765], [-0.401, -7.593, 3.633]],
  "species": ["Pb", "Pb", "Pb", "Sc", "Sc", "Pb", "Bi", "Bi"],
  "frac_coords": [[0.375, 0.386, 0.750], [0.875, 0.864, 0.750], [0.136, 0.625, 0.250], [0.250, 0.750, 0.500], [0.500, 0.500, 0.000], [0.614, 0.125, 0.250], [0.750, 0.250, 0.500], [0.000, 0.000, 0.000]],
  "sg": "I-42d",
  "delta_e_f_ev_per_atom": 0.35,
  "dos_at_fermi_per_ev_atom": 0.502,
  "magmom_total_mub_per_fu": 0.00
}